Record 1
First-principles (GGA-PBE) data for a relaxed Ca3U3AgAs8 crystal, as listed in the Alexandria database.

Results
* crystal system: trigonal
* calculated density: 6.5 g/cm³
* energy relative to the elements: -628 meV per atom

Lattice parameters (Å, degrees): 8.3891 8.3891 8.3891 57.54 57.54 57.54
Sites, in units of the cell vectors:
Ca 0.0000 0.5000 0.5000
Ca 0.5000 0.0000 0.5000
Ca 0.5000 0.5000 0.0000
U 0.0000 0.0000 0.5000
U 0.0000 0.5000 0.0000
U 0.5000 0.0000 0.0000
Ag 0.5000 0.5000 0.5000
As 0.2336 0.7486 0.7486
As 0.2446 0.2446 0.2446
As 0.2514 0.2514 0.7664
As 0.2514 0.7664 0.2514
As 0.7486 0.2336 0.7486
As 0.7486 0.7486 0.2336
As 0.7554 0.7554 0.7554
As 0.7664 0.2514 0.2514

***

Record 2
First-principles (GGA-PBE) data for a relaxed PmIn2Br6 crystal, as listed in the Alexandria database.

Results
* crystal system: orthorhombic
* calculated density: 4.8 g/cm³
* VASP energy: -30.13 eV for the cell shown

Lattice parameters (Å, degrees): 8.9424 8.9424 8.9424 146.15 131.30 60.63
Sites, in units of the cell vectors:
Pm 0.0000 0.0000 0.0000
In 0.3336 0.3336 0.0000
In 0.6664 0.6664 0.0000
Br 0.0865 0.8432 0.2433
Br 0.2294 0.5000 0.7294
Br 0.4002 0.1568 0.2433
Br 0.5998 0.8432 0.7567
Br 0.7706 0.5000 0.2706
Br 0.9135 0.1568 0.7567

***

Record 3
First-principles (GGA-PBE) data for a relaxed Zr2ScAsPb crystal, as listed in the Alexandria database.

Results
* crystal system: tetragonal
* calculated density: 5.5 g/cm³
* energy relative to the elements: 915 meV per atom

Lattice parameters (Å, degrees): 5.4020 5.4020 5.2740 90.00 90.00 90.00
Sites, in units of the cell vectors:
Zr 0.0000 0.5000 0.0000
Zr 0.5000 0.0000 0.0000
Sc 0.0000 0.0000 0.5000
As 0.5000 0.5000 0.5000
Pb 0.0000 0.0000 0.0000

***

Record 4
First-principles (GGA-PBE) data for a relaxed K2ZrAs crystal, as listed in the Alexandria database.

Results
* crystal system: monoclinic
* calculated density: 2.3 g/cm³
* energy relative to the elements: 172 meV per atom

Lattice parameters (Å, degrees): 5.2331 4.4000 8.1702 90.00 108.29 90.00
Sites, in units of the cell vectors:
K 0.1490 0.0000 0.2993
K 0.8510 0.0000 0.7007
Zr 0.5000 0.5000 0.0000
As 0.0000 0.5000 0.0000

***

Record 5
First-principles (GGA-PBE) data for a relaxed Nd5Y5Ho2 crystal, as listed in the Alexandria database.

Results
* crystal system: monoclinic
* calculated density: 6.2 g/cm³
* energy relative to the elements: 17 meV per atom

Lattice parameters (Å, degrees): 8.0669 8.0669 11.4129 115.14 115.14 36.91
Sites, in units of the cell vectors:
Nd 0.0000 0.0000 0.0000
Nd 0.0828 0.0828 0.7500
Nd 0.1665 0.1665 0.4995
Nd 0.8335 0.8335 0.5005
Nd 0.9172 0.9172 0.2500
Y 0.2485 0.2485 0.2482
Y 0.3333 0.3333 0.9992
Y 0.5000 0.5000 0.5000
Y 0.6667 0.6667 0.0008
Y 0.7515 0.7515 0.7518
Ho 0.4167 0.4167 0.7505
Ho 0.5833 0.5833 0.2495

***

Record 6
First-principles (GGA-PBE) data for a relaxed GeIr crystal, as listed in the Alexandria database.

Results
* crystal system: orthorhombic
* calculated density: 14.5 g/cm³
* energy relative to the elements: -93 meV per atom

Lattice parameters (Å, degrees): 2.9889 14.0591 4.3228 90.00 90.00 90.00
Sites, in units of the cell vectors:
Ge 0.2500 0.0846 0.1148
Ge 0.2500 0.4154 0.1148
Ge 0.2500 0.7500 0.6377
Ge 0.7500 0.2500 0.3623
Ge 0.7500 0.5846 0.8852
Ge 0.7500 0.9154 0.8852
Ir 0.2500 0.2500 0.8725
Ir 0.2500 0.5831 0.3891
Ir 0.2500 0.9169 0.3891
Ir 0.7500 0.0831 0.6109
Ir 0.7500 0.4169 0.6109
Ir 0.7500 0.7500 0.1275

***

> What is the formula in the sixth record?

GeIr